This record from Alexandria describes a relaxed structure of BSbN2. The functional is GGA-PBE.

Structure (extended XYZ):
```
16
Lattice="4.929 0.000 0.000 0.000 4.929 0.000 0.000 0.000 6.893" Properties=species:S:1:pos:R:3 pbc="T T T"
B 0.000 0.000 0.000
B 0.000 2.464 1.723
B 2.464 0.000 5.169
B 2.464 2.464 3.446
Sb 0.000 0.000 3.446
Sb 0.000 2.464 5.169
Sb 2.464 0.000 1.723
Sb 2.464 2.464 0.000
N 0.559 1.232 0.862
N 1.232 3.024 2.585
N 1.232 4.369 6.031
N 1.905 1.232 4.308
N 3.024 3.696 4.308
N 3.696 0.559 6.031
N 3.696 1.905 2.585
N 4.369 3.696 0.862
```

## Properties
Symmetry = No. 122
Total magnetization = 0.0 μB/f.u.
VASP energy = -105.6 eV per cell
Distance to the lowest polymorph of the same formula = 0.68 eV per formula unit
Raw formation energy = 0.262 eV/atom
DOS at the Fermi energy = 1.00 states/eV/f.u.